[1]
Compound: AcPaAgSb
Source: Alexandria via LeMat-Bulk
Functional: GGA-PBE
Structure: optimized geometry

Output
The value obtained for the uncorrected formation energy is -0.118 eV per atom. Its space group is F-43m. The calculated total energy comes out at -5.262 eV per atom. As for the size of the total moment: 2.891 μB/f.u.

Cell lengths 5.482, 5.482, 5.482 Å; angles 60.00, 60.00, 60.00 degrees
Each line ends with the local moment (μB).
Sites, in units of the cell vectors:
Pa 0.500 0.500 0.500  1.64
Ag 0.750 0.750 0.750  0.04
Ac 0.000 0.000 0.000  0.23
Sb 0.250 0.250 0.250  -0.01

***

[2]
Compound: YErNp2As4
Source: Alexandria via LeMat-Bulk
Functional: GGA-PBE
Structure: optimized geometry

Output
The value obtained for the energy of formation is -1.11 eV/atom. Its space group is P2/m. The calculated total energy comes out at -8.044 eV per atom. As for the size of the total moment: 7.661 μB/f.u.

Cell lengths 4.097, 7.100, 7.120 Å; angles 109.40, 90.00, 90.00 degrees
Each line ends with the local moment (μB).
Sites, in units of the cell vectors:
Np 0.500 0.000 0.500  3.73
Np 0.000 0.500 0.500  3.71
As 0.000 0.749 0.251  -0.07
As 0.000 0.251 0.749  -0.07
As 0.500 0.252 0.252  -0.07
As 0.500 0.748 0.748  -0.07
Y 0.000 0.000 0.000  0.01
Er 0.500 0.500 0.000  -0.01

***

[3]
Compound: RbPd
Source: Alexandria via LeMat-Bulk
Functional: GGA-PBE
Structure: optimized geometry

Output
The value obtained for the energy of formation is 0.71 eV/atom. Its space group is P6_3/mmc. The calculated total energy comes out at -2.375 eV per atom. As for the size of the total moment: 0.000 μB/f.u.

Cell lengths 5.607, 5.607, 6.551 Å; angles 90.00, 90.00, 120.00 degrees
Sites, in units of the cell vectors:
Pd 0.667 0.333 0.250
Pd 0.333 0.667 0.750
Rb 0.667 0.333 0.750
Rb 0.333 0.667 0.250

***

[4]
Compound: RePO5
Source: Alexandria via LeMat-Bulk
Functional: GGA-PBE
Structure: optimized geometry

Output
The value obtained for the uncorrected formation energy is -1.773 eV per atom. Its space group is C2/c. The calculated total energy comes out at -7.866 eV per atom. As for the size of the total moment: 1.450 μB/f.u.

Cell lengths 5.342, 5.342, 7.276 Å; angles 107.09, 107.09, 98.42 degrees
Each line ends with the local moment (μB).
Sites, in units of the cell vectors:
O 0.836 0.299 0.612  0.04
O 0.639 0.736 0.386  0.03
O 0.264 0.361 0.114  0.03
O 0.736 0.639 0.886  0.03
O 0.701 0.164 0.888  0.04
O 0.299 0.836 0.112  0.04
O 0.164 0.701 0.388  0.04
O 0.361 0.264 0.614  0.03
O 0.942 0.058 0.250  0.02
O 0.058 0.942 0.750  0.02
P 0.662 0.338 0.750  0.01
P 0.338 0.662 0.250  0.01
Re 0.000 0.000 0.000  1.11
Re 0.000 0.000 0.500  1.11